# 1
! KHoCu2I6 PBE-GGA relaxed; values from VASP
! Formation energy (no corrections), eV per atom: -0.86
&SYSTEM
  ibrav = 0, nat = 20, ntyp = 4
/
ATOMIC_SPECIES
K 39.10 K.upf
Ho 164.93 Ho.upf
Cu 63.55 Cu.upf
I 126.90 I.upf
CELL_PARAMETERS angstrom
7.028 -7.078 0.000
7.028 7.078 0.000
-0.960 0.000 7.718
ATOMIC_POSITIONS angstrom
K 6.309 5.892 5.789
K 6.788 -5.892 1.930
Ho 6.788 3.146 1.930
Ho 6.309 -3.146 5.789
Cu 3.893 1.136 5.455
Cu 4.373 -1.136 1.596
Cu 8.724 1.136 6.123
Cu 9.204 -1.136 2.263
I 1.217 1.654 5.046
I 4.520 3.165 6.960
I 1.697 -1.654 1.186
I 4.743 1.080 2.951
I 8.097 3.165 4.618
I 4.263 -1.080 6.811
I 8.834 1.080 0.908
I 5.000 -3.165 3.101
I 8.354 -1.080 4.767
I 11.400 1.654 6.532
I 8.577 -3.165 0.759
I 11.880 -1.654 2.673



# 2
! RbHoCuI5 PBE-GGA relaxed; values from VASP
! Formation energy (no corrections), eV per atom: -1.08
&SYSTEM
  ibrav = 0, nat = 16, ntyp = 4
/
ATOMIC_SPECIES
Rb 85.47 Rb.upf
Ho 164.93 Ho.upf
Cu 63.55 Cu.upf
I 126.90 I.upf
CELL_PARAMETERS angstrom
5.044 -6.626 0.000
5.044 6.626 0.000
-4.495 0.000 10.364
ATOMIC_POSITIONS angstrom
Rb 1.673 4.753 7.773
Rb 3.920 -4.753 2.591
Ho 5.044 0.000 0.000
Ho 2.797 0.000 5.182
Cu 3.920 4.106 2.591
Cu 1.673 -4.106 7.773
I -2.230 1.022 9.669
I 2.174 2.712 3.976
I 0.018 -1.022 4.487
I 5.666 2.712 1.206
I 1.673 1.087 7.773
I 3.920 -1.087 2.591
I -0.073 -2.712 9.158
I 5.575 1.022 5.877
I 3.419 -2.712 6.388
I 7.823 -1.022 0.695



# 3
! RbHoCu2I6 PBE-GGA relaxed; values from VASP
! Formation energy (no corrections), eV per atom: -0.85
&SYSTEM
  ibrav = 0, nat = 20, ntyp = 4
/
ATOMIC_SPECIES
Rb 85.47 Rb.upf
Ho 164.93 Ho.upf
Cu 63.55 Cu.upf
I 126.90 I.upf
CELL_PARAMETERS angstrom
7.001 -7.239 0.000
7.001 7.239 0.000
-0.850 0.000 7.774
ATOMIC_POSITIONS angstrom
Rb 6.364 6.049 5.831
Rb 6.789 -6.049 1.944
Ho 6.789 3.170 1.944
Ho 6.364 -3.170 5.831
Cu 4.022 1.153 5.481
Cu 4.447 -1.153 1.594
Cu 8.706 1.153 6.181
Cu 9.131 -1.153 2.294
I 1.315 1.810 5.131
I 4.631 3.142 7.033
I 1.740 -1.810 1.244
I 4.738 1.082 2.951
I 8.096 3.142 4.628
I 4.313 -1.082 6.838
I 8.839 1.082 0.936
I 5.056 -3.142 3.146
I 8.415 -1.082 4.823
I 11.413 1.810 6.530
I 8.521 -3.142 0.741
I 11.838 -1.810 2.643



# 4
! Rb2HoCuI6 PBE-GGA relaxed; values from VASP
! Formation energy (no corrections), eV per atom: -1.11
&SYSTEM
  ibrav = 0, nat = 10, ntyp = 4
/
ATOMIC_SPECIES
Rb 85.47 Rb.upf
Ho 164.93 Ho.upf
Cu 63.55 Cu.upf
I 126.90 I.upf
CELL_PARAMETERS angstrom
5.835 -6.050 0.000
5.835 6.050 0.000
-5.835 0.000 5.861
ATOMIC_POSITIONS angstrom
Rb 5.835 3.023 0.000
Rb 5.835 -3.023 0.000
Ho -2.917 0.000 2.930
Cu 2.917 0.000 2.930
I 2.917 3.036 2.930
I 2.925 0.000 0.088
I 0.101 0.000 2.923
I 5.733 0.000 2.938
I 2.909 0.000 5.773
I 2.917 -3.036 2.930



# 5
! RbHoCuI6 PBE-GGA relaxed; values from VASP
! Formation energy (no corrections), eV per atom: -0.94
&SYSTEM
  ibrav = 0, nat = 9, ntyp = 4
/
ATOMIC_SPECIES
Rb 85.47 Rb.upf
Ho 164.93 Ho.upf
Cu 63.55 Cu.upf
I 126.90 I.upf
CELL_PARAMETERS angstrom
7.414 0.000 0.000
-2.396 7.030 0.000
-0.970 -1.284 7.923
ATOMIC_POSITIONS angstrom
Rb 0.000 0.000 0.000
Ho 0.781 3.777 3.968
Cu 4.273 1.284 3.951
I -1.142 3.829 1.760
I -0.789 1.415 5.162
I 0.110 5.560 6.192
I 2.495 1.982 2.133
I 3.049 2.730 5.779
I 2.479 6.035 2.748



# 6
! Ho12InCu5 PBE-GGA relaxed; values from VASP
! Calculated total energy, eV per cell: -81.9
&SYSTEM
  ibrav = 0, nat = 18, ntyp = 3
/
ATOMIC_SPECIES
Ho 164.93 Ho.upf
In 114.82 In.upf
Cu 63.55 Cu.upf
CELL_PARAMETERS angstrom
-4.698 4.792 5.049
4.698 -4.792 5.049
4.698 4.792 -5.049
ATOMIC_POSITIONS angstrom
Ho 4.698 2.964 -2.723
Ho 2.628 1.729 0.000
Ho 6.769 1.729 0.000
Ho 1.855 4.792 -1.804
Ho 2.843 0.000 3.246
Ho 0.000 1.828 2.327
Ho 4.698 2.964 2.723
Ho 1.855 4.792 1.804
Ho 2.843 0.000 6.853
Ho -2.071 3.063 5.049
Ho 2.071 3.063 5.049
Ho 0.000 1.828 7.772
In 0.000 0.000 5.049
Cu 0.000 0.000 0.000
Cu 4.698 0.000 1.222
Cu 0.000 3.411 0.000
Cu 0.000 6.172 0.000
Cu 0.000 4.792 3.828



# 7
! HoInCu10 PBE-GGA relaxed; values from VASP
! Calculated total energy, eV per cell: -49.2
&SYSTEM
  ibrav = 0, nat = 12, ntyp = 3
/
ATOMIC_SPECIES
Ho 164.93 Ho.upf
In 114.82 In.upf
Cu 63.55 Cu.upf
CELL_PARAMETERS angstrom
4.098 0.000 0.000
0.000 4.973 0.000
0.000 0.000 8.629
ATOMIC_POSITIONS angstrom
Ho 0.000 0.000 0.000
In 0.000 2.487 4.315
Cu 0.000 0.000 2.941
Cu 0.000 0.000 5.688
Cu 0.000 2.487 1.512
Cu 0.000 2.487 7.117
Cu 2.049 0.000 4.315
Cu 2.049 1.226 2.137
Cu 2.049 1.226 6.492
Cu 2.049 2.487 0.000
Cu 2.049 3.747 2.137
Cu 2.049 3.747 6.492



# 8
! HoIn5Cu PBE-GGA relaxed; values from VASP
! Calculated total energy, eV per cell: -23.8
&SYSTEM
  ibrav = 0, nat = 7, ntyp = 3
/
ATOMIC_SPECIES
Ho 164.93 Ho.upf
In 114.82 In.upf
Cu 63.55 Cu.upf
CELL_PARAMETERS angstrom
4.689 0.000 0.000
0.000 4.689 0.000
0.000 0.000 7.557
ATOMIC_POSITIONS angstrom
Ho 0.000 0.000 0.000
In 0.000 2.345 2.259
In 0.000 2.345 5.299
In 2.345 0.000 2.259
In 2.345 0.000 5.299
In 2.345 2.345 0.000
Cu 0.000 0.000 3.779



# 9
! Ho6InCu2 PBE-GGA relaxed; values from VASP
! Calculated total energy, eV per cell: -81.1
&SYSTEM
  ibrav = 0, nat = 18, ntyp = 3
/
ATOMIC_SPECIES
Ho 164.93 Ho.upf
In 114.82 In.upf
Cu 63.55 Cu.upf
CELL_PARAMETERS angstrom
-4.674 4.896 5.116
4.674 -4.896 5.116
4.674 4.896 -5.116
ATOMIC_POSITIONS angstrom
Ho 4.674 2.950 -2.679
Ho 2.651 1.813 0.000
Ho 6.697 1.813 0.000
Ho 1.822 4.896 -1.821
Ho 2.852 0.000 3.296
Ho 0.000 1.946 2.437
Ho 4.674 2.950 2.679
Ho 1.822 4.896 1.821
Ho 2.852 0.000 6.937
Ho -2.023 3.083 5.116
Ho 2.023 3.083 5.116
Ho 0.000 1.946 7.796
In 0.000 0.000 0.000
In 0.000 0.000 5.116
Cu 4.674 0.000 1.222
Cu 0.000 3.391 0.000
Cu 0.000 6.400 0.000
Cu 0.000 4.896 3.894



# 10
! Ho5InCu PBE-GGA relaxed; values from VASP
! Calculated total energy, eV per cell: -60.0
&SYSTEM
  ibrav = 0, nat = 14, ntyp = 3
/
ATOMIC_SPECIES
Ho 164.93 Ho.upf
In 114.82 In.upf
Cu 63.55 Cu.upf
CELL_PARAMETERS angstrom
5.556 -3.296 0.000
5.556 3.296 0.000
-3.137 0.000 10.788
ATOMIC_POSITIONS angstrom
Ho 3.203 3.012 8.091
Ho 0.503 1.068 6.928
Ho 1.132 0.984 10.240
Ho 2.071 -1.068 1.534
Ho 5.274 0.984 5.942
Ho 2.701 -0.984 4.846
Ho 5.903 1.068 9.254
Ho 6.842 -0.984 0.548
Ho 7.472 -1.068 3.860
Ho 4.772 -3.012 2.697
In 4.772 0.368 2.697
In 3.203 -0.368 8.091
Cu 0.000 0.000 0.000
Cu -1.569 0.000 5.394



# 11
! Ho5In4Cu PBE-GGA relaxed; values from VASP
! Calculated total energy, eV per cell: -42.2
&SYSTEM
  ibrav = 0, nat = 10, ntyp = 3
/
ATOMIC_SPECIES
Ho 164.93 Ho.upf
In 114.82 In.upf
Cu 63.55 Cu.upf
CELL_PARAMETERS angstrom
3.529 0.000 0.000
0.000 3.529 0.000
0.000 0.000 20.231
ATOMIC_POSITIONS angstrom
Ho 0.000 0.000 0.000
Ho 0.000 0.000 4.220
Ho 0.000 0.000 8.431
Ho 0.000 0.000 11.800
Ho 0.000 0.000 16.011
In 1.765 1.765 2.111
In 1.765 1.765 6.327
In 1.765 1.765 13.904
In 1.765 1.765 18.120
Cu 1.765 1.765 10.116



# 12
! Ho5InCu2 PBE-GGA relaxed; values from VASP
! Calculated total energy, eV per cell: -71.5
&SYSTEM
  ibrav = 0, nat = 16, ntyp = 3
/
ATOMIC_SPECIES
Ho 164.93 Ho.upf
In 114.82 In.upf
Cu 63.55 Cu.upf
CELL_PARAMETERS angstrom
-3.928 3.928 6.513
3.928 -3.928 6.513
3.928 3.928 -6.513
ATOMIC_POSITIONS angstrom
Ho 0.000 0.000 0.000
Ho 5.161 1.233 -1.847
Ho 1.233 2.696 -1.847
Ho 5.161 1.233 1.847
Ho 1.233 2.696 1.847
Ho 0.000 0.000 6.513
Ho 2.696 1.233 4.666
Ho -1.233 2.696 4.666
Ho 2.696 1.233 8.359
Ho -1.233 2.696 8.359
In 0.000 0.000 3.256
In 0.000 0.000 9.769
Cu 2.918 1.010 0.000
Cu 2.918 -1.010 6.513
Cu 1.010 4.939 0.000
Cu 1.010 2.918 6.513



The records above yield magnetic moment values of 0.00; 0.00; 0.00; 0.00; 0.83; 0.00; 0.00; 0.00; 0.00; 0.00; 0.00; 0.00 μB per formula unit, respectively.